MgZr2O4 | GGA-PBE | optimized geometry Values from VASP.

Geometry as Quantum ESPRESSO input:
```
&SYSTEM
  ibrav = 0, nat = 14, ntyp = 3
/
ATOMIC_SPECIES
Mg 24.30 Mg.upf
O 16.00 O.upf
Zr 91.22 Zr.upf
CELL_PARAMETERS angstrom
4.455 -4.456 0.000
-4.455 0.000 -4.456
4.455 4.456 0.000
ATOMIC_POSITIONS angstrom
Mg 0.000 0.000 0.000
Mg 2.228 -2.228 -2.228
O -1.102 1.102 -3.354
O 3.353 -1.102 -1.102
O 1.102 -1.102 -3.354
O 1.126 1.126 -1.126
O 5.557 1.102 -1.102
O 1.126 3.330 -3.330
O 3.330 3.330 -1.126
O 3.330 1.126 -3.330
Zr -1.114 -1.114 -3.342
Zr 1.114 1.114 -3.342
Zr 3.341 1.114 -1.114
Zr 5.569 -1.114 -1.114
```

Computed properties:
Its total moment is 0.00 μB per formula unit. As for the symmetry: Fd-3m, No. 227. As for the crystal system: cubic. The uncorrected energy comes out at -8.292 eV/atom.


LiLa2TaO6 | GGA-PBE | optimized geometry Values from VASP.

Geometry as Quantum ESPRESSO input:
```
&SYSTEM
  ibrav = 0, nat = 20, ntyp = 4
/
ATOMIC_SPECIES
La 138.91 La.upf
Li 6.94 Li.upf
O 16.00 O.upf
Ta 180.95 Ta.upf
CELL_PARAMETERS angstrom
-3.449 -4.399 0.395
4.527 -3.499 0.574
3.136 5.286 7.487
ATOMIC_POSITIONS angstrom
La 4.261 -3.055 2.496
La 0.196 -3.599 2.445
La 4.018 0.987 6.010
La -0.048 0.444 5.959
Li 2.264 -1.749 0.287
Li 1.568 2.643 3.744
O -1.860 -4.097 0.792
O 0.837 -5.484 1.104
O -1.320 -1.673 2.080
O 1.995 -2.059 2.382
O 1.483 0.481 3.567
O 3.986 -0.756 3.854
O 0.228 -1.856 4.601
O 2.731 -3.093 4.889
O 2.219 -0.553 6.074
O 5.534 -0.939 6.375
O 3.377 2.872 7.352
O 6.074 1.485 7.664
Ta -1.725 -2.199 0.197
Ta 2.107 -1.306 4.228
```

Computed properties:
Its total moment is 0.00 μB per formula unit. As for the symmetry: P2_1/c, No. 14. As for the crystal system: monoclinic. The uncorrected energy comes out at -8.467 eV/atom.


AcB2Ir2 | GGA-PBE | optimized geometry Values from VASP.

Geometry as Quantum ESPRESSO input:
```
&SYSTEM
  ibrav = 0, nat = 5, ntyp = 3
/
ATOMIC_SPECIES
Ac 227.00 Ac.upf
B 10.81 B.upf
Ir 192.22 Ir.upf
CELL_PARAMETERS angstrom
-5.033 -2.153 2.571
-3.500 3.017 3.903
2.763 0.559 -5.351
ATOMIC_POSITIONS angstrom
Ac 0.000 0.000 0.000
B -2.854 0.289 2.165
B -5.679 0.575 4.308
Ir -3.269 -0.581 0.228
Ir -2.502 2.004 0.894
```

Computed properties:
Its total moment is 0.00 μB per formula unit. As for the symmetry: I4/mmm, No. 139. As for the crystal system: tetragonal. For the energy above the most stable polymorph in this dataset, the calculation gives 0.33 eV per formula unit.


Ba2LiTcS6 | GGA-PBE | optimized geometry Values from VASP.

Geometry as Quantum ESPRESSO input:
```
&SYSTEM
  ibrav = 0, nat = 10, ntyp = 4
/
ATOMIC_SPECIES
Ba 137.33 Ba.upf
Li 6.94 Li.upf
S 32.06 S.upf
Tc 98.00 Tc.upf
CELL_PARAMETERS angstrom
-6.391 2.175 0.682
-4.848 -4.298 2.022
-1.625 4.215 5.065
ATOMIC_POSITIONS angstrom
Ba -4.042 -2.169 2.783
Ba -2.431 2.086 4.304
Li -6.432 1.046 3.885
S -1.643 -0.022 1.745
S -4.797 1.054 2.086
S -7.246 -1.119 3.135
S -5.618 3.211 4.635
S -8.067 1.038 5.683
S -11.221 2.114 6.024
Tc -3.195 1.087 0.341
```

Computed properties:
Its total moment is 0.04 μB per formula unit. As for the symmetry: C2/m, No. 12. As for the crystal system: monoclinic. The uncorrected energy comes out at -5.056 eV/atom.


CuPt | GGA-PBE | optimized geometry Values from VASP.

Geometry as Quantum ESPRESSO input:
```
&SYSTEM
  ibrav = 0, nat = 6, ntyp = 2
/
ATOMIC_SPECIES
Cu 63.55 Cu.upf
Pt 195.08 Pt.upf
CELL_PARAMETERS angstrom
-2.146 0.704 1.534
2.356 -0.703 1.188
3.836 12.342 -0.299
ATOMIC_POSITIONS angstrom
Cu 0.000 0.000 0.000
Cu 0.633 4.347 1.319
Cu 3.413 7.995 1.104
Pt 1.494 1.821 1.253
Pt 1.918 6.171 -0.150
Pt 2.552 10.522 1.170
```

Computed properties:
Its total moment is 0.00 μB per formula unit. As for the symmetry: R-3m, No. 166. As for the crystal system: trigonal. As for the formation enthalpy at 0 K: -0.34 eV per formula unit.


KMgTaNi | GGA-PBE | optimized geometry Values from VASP.

Geometry as Quantum ESPRESSO input:
```
&SYSTEM
  ibrav = 0, nat = 4, ntyp = 4
/
ATOMIC_SPECIES
K 39.10 K.upf
Mg 24.30 Mg.upf
Ni 58.69 Ni.upf
Ta 180.95 Ta.upf
CELL_PARAMETERS angstrom
0.000 3.468 3.468
3.468 0.000 3.468
3.468 3.468 0.000
ATOMIC_POSITIONS angstrom
K 1.734 1.734 1.734
Mg 5.202 5.202 5.202
Ni 3.468 3.468 3.468
Ta 0.000 0.000 0.000
```

Computed properties:
Its total moment is 1.88 μB per formula unit. As for the symmetry: F-43m, No. 216. As for the crystal system: cubic. For the energy above the most stable polymorph in this dataset, the calculation gives 1.67 eV per formula unit.


HfInCoOs | GGA-PBE | optimized geometry Values from VASP.

Geometry as Quantum ESPRESSO input:
```
&SYSTEM
  ibrav = 0, nat = 4, ntyp = 4
/
ATOMIC_SPECIES
Co 58.93 Co.upf
Hf 178.49 Hf.upf
In 114.82 In.upf
Os 190.23 Os.upf
CELL_PARAMETERS angstrom
0.000 3.189 3.189
3.189 0.000 3.189
3.189 3.189 0.000
ATOMIC_POSITIONS angstrom
Co 4.784 4.784 4.784
Hf 3.189 3.189 3.189
In 0.000 0.000 0.000
Os 1.595 1.595 1.595
```

Computed properties:
Its total moment is 0.02 μB per formula unit. As for the symmetry: F-43m, No. 216. As for the crystal system: cubic. For the energy above the most stable polymorph in this dataset, the calculation gives 0.00 eV per formula unit.


Hf4Zr2Zn3N3 | GGA-PBE | optimized geometry Values from VASP.

Geometry as Quantum ESPRESSO input:
```
&SYSTEM
  ibrav = 0, nat = 24, ntyp = 4
/
ATOMIC_SPECIES
Hf 178.49 Hf.upf
N 14.01 N.upf
Zn 65.41 Zn.upf
Zr 91.22 Zr.upf
CELL_PARAMETERS angstrom
-3.720 -0.842 4.077
-0.501 -5.060 2.320
7.355 4.497 11.460
ATOMIC_POSITIONS angstrom
Hf -0.235 -4.075 3.443
Hf -2.513 -2.965 5.360
Hf -0.744 -3.776 10.628
Hf 0.643 -1.836 8.527
Hf 2.491 0.431 9.330
Hf 3.878 2.370 7.230
Hf 5.647 1.560 12.498
Hf 3.369 2.670 14.415
N -0.700 -0.985 1.063
N -2.111 -2.951 3.199
N -3.521 -4.917 5.334
N 2.720 -1.268 7.959
N 1.818 1.827 7.769
N 0.414 -0.137 9.899
Zn -1.909 -3.027 8.147
Zn -1.095 -0.776 6.523
Zn 0.182 -3.368 6.162
Zn 2.952 1.963 11.696
Zn 4.229 -0.629 11.335
Zn 5.043 1.621 9.710
Zr -0.951 -0.901 3.392
Zr 1.912 0.061 6.201
Zr 1.222 -1.466 11.656
Zr 4.085 -0.504 14.466
```

Computed properties:
Its total moment is 0.00 μB per formula unit. As for the symmetry: C2/c, No. 15. As for the crystal system: monoclinic. The uncorrected energy comes out at -8.116 eV/atom.


ErSnAuSe3 | GGA-PBE | optimized geometry Values from VASP.

Geometry as Quantum ESPRESSO input:
```
&SYSTEM
  ibrav = 0, nat = 24, ntyp = 4
/
ATOMIC_SPECIES
Au 196.97 Au.upf
Er 167.26 Er.upf
Se 78.96 Se.upf
Sn 118.71 Sn.upf
CELL_PARAMETERS angstrom
-2.418 2.463 -2.357
4.558 -5.154 -10.063
-9.119 -8.661 0.305
ATOMIC_POSITIONS angstrom
Au 0.859 -3.173 -9.755
Au -4.059 -3.102 -4.636
Au -2.920 -8.250 -7.478
Au -7.838 -8.179 -2.359
Er 0.085 -3.309 -5.397
Er 0.828 -7.345 -10.377
Er -7.806 -4.008 -1.737
Er -7.064 -8.044 -6.717
Se 0.422 -1.702 -7.770
Se 1.061 -4.780 -11.642
Se -1.300 -2.439 -3.067
Se 0.112 -5.839 -8.070
Se -2.531 -3.450 -6.567
Se -5.434 -2.523 -2.619
Se -1.544 -8.829 -9.495
Se -4.447 -7.902 -5.547
Se -7.091 -5.513 -4.044
Se -5.678 -8.914 -9.047
Se -8.040 -6.572 -0.472
Se -7.401 -9.650 -4.344
Sn -1.546 0.351 -3.604
Sn -2.679 -5.467 -8.521
Sn -4.299 -5.886 -3.593
Sn -5.432 -11.704 -8.510
```

Computed properties:
Its total moment is 0.00 μB per formula unit. As for the symmetry: Pnma, No. 62. As for the crystal system: orthorhombic. For the energy above the most stable polymorph in this dataset, the calculation gives 0.00 eV per formula unit.


Cd2Sb2O5 | GGA-PBE | optimized geometry Values from VASP.

Geometry as Quantum ESPRESSO input:
```
&SYSTEM
  ibrav = 0, nat = 9, ntyp = 3
/
ATOMIC_SPECIES
Cd 112.41 Cd.upf
O 16.00 O.upf
Sb 121.76 Sb.upf
CELL_PARAMETERS angstrom
-0.716 4.543 8.487
-0.193 -3.199 1.696
3.611 -0.044 0.328
ATOMIC_POSITIONS angstrom
Cd 1.522 -0.437 3.225
Cd 1.180 1.737 7.286
O -0.186 -1.031 1.911
O -0.723 2.374 8.272
O 1.716 0.547 1.227
O 1.179 3.952 7.588
O 1.351 0.650 5.256
Sb 0.000 0.000 0.000
Sb -0.358 2.271 4.243
```

Computed properties:
As for the symmetry: P4/mmm, No. 123. As for the crystal system: tetragonal. For the energy above the most stable polymorph in this dataset, the calculation gives 1.56 eV per formula unit.


Sm2U | GGA-PBE | optimized geometry Values from VASP.

Geometry as Quantum ESPRESSO input:
```
&SYSTEM
  ibrav = 0, nat = 6, ntyp = 2
/
ATOMIC_SPECIES
Sm 150.36 Sm.upf
U 238.03 U.upf
CELL_PARAMETERS angstrom
4.411 2.546 7.202
-4.411 2.546 7.202
0.000 -5.093 7.202
ATOMIC_POSITIONS angstrom
Sm 2.205 1.273 11.704
Sm -2.205 1.273 11.704
Sm 0.000 0.000 8.103
Sm 0.000 -2.546 11.704
U 0.000 0.000 5.402
U 0.000 0.000 10.804
```

Computed properties:
Its total moment is 0.85 μB per formula unit. As for the symmetry: Fd-3m, No. 227. As for the crystal system: cubic. As for the formation enthalpy at 0 K: 7.37 eV per formula unit.